1.
Computed, not measured: an optimized crystal structure of NdSmAg3 at the GGA-PBE level of DFT.

Summary:
calculated formation energy	-0.22	eV/atom
theoretical density	8.13	g/cm3
density of states at the Fermi level	0.94	states/eV/atom
magnetic moment	0.0	μB/cell
E above lowest polymorph	0.033	eV/atom

Cell: 7.770 7.963 8.159 Å, 90.00 90.00 90.00°
Sites, in units of the cell vectors:
Nd  0.186  0.165  0.000
Nd  0.314  0.665  0.500
Nd  0.686  0.335  0.500
Nd  0.814  0.835  0.000
Sm  0.185  0.162  0.500
Sm  0.315  0.662  0.000
Sm  0.685  0.338  0.000
Sm  0.815  0.838  0.500
Ag  0.000  0.500  0.240
Ag  0.000  0.500  0.760
Ag  0.121  0.868  0.249
Ag  0.121  0.868  0.751
Ag  0.379  0.368  0.251
Ag  0.379  0.368  0.749
Ag  0.500  0.000  0.260
Ag  0.500  0.000  0.740
Ag  0.621  0.632  0.251
Ag  0.621  0.632  0.749
Ag  0.879  0.132  0.249
Ag  0.879  0.132  0.751

=====

2.
Computed, not measured: an optimized crystal structure of La2BeBr at the GGA-PBE level of DFT.

Summary:
theoretical density	5.61	g/cm3
density of states at the Fermi level	1.28	states/eV/atom
formation energy from raw total energies	-0.165	eV/atom
magnetic moment	0.0	μB/cell
E above lowest polymorph	0.366	eV/atom

Cell: 4.299 4.299 11.755 Å, 90.00 90.00 90.00°
Sites, in units of the cell vectors:
La  0.000  0.000  0.000
La  0.000  0.500  0.250
La  0.500  0.000  0.750
La  0.500  0.500  0.500
Be  0.000  0.500  0.750
Be  0.500  0.000  0.250
Br  0.000  0.000  0.500
Br  0.500  0.500  0.000

=====

3.
Computed, not measured: an optimized crystal structure of KScTa2 at the GGA-PBE level of DFT.

Summary:
calculated formation energy	1.05	eV/atom
theoretical density	7.41	g/cm3
density of states at the Fermi level	1.11	states/eV/atom
magnetic moment	0.2	μB/cell
E above lowest polymorph	0.490	eV/atom

Cell: 2.991 5.940 11.251 Å, 90.00 90.00 90.00°
Sites, in units of the cell vectors:
K  0.000  0.000  0.000
K  0.500  0.500  0.500
Sc  0.000  0.500  0.790
Sc  0.500  0.000  0.290
Ta  0.000  0.000  0.531
Ta  0.000  0.500  0.223
Ta  0.500  0.000  0.723
Ta  0.500  0.500  0.031

=====

4.
Computed, not measured: an optimized crystal structure of NaCd4Ga at the GGA-PBE level of DFT.

Summary:
calculated formation energy	-0.05	eV/atom
theoretical density	6.35	g/cm3
density of states at the Fermi level	0.20	states/eV/atom
magnetic moment	0.0	μB/cell
E above lowest polymorph	0.000	eV/atom

Cell: 8.636 4.235 7.757 Å, 90.00 90.00 90.00°
Sites, in units of the cell vectors:
Na  0.250  0.000  0.110
Na  0.750  0.000  0.890
Cd  0.000  0.000  0.500
Cd  0.046  0.500  0.819
Cd  0.250  0.500  0.428
Cd  0.454  0.500  0.819
Cd  0.500  0.000  0.500
Cd  0.546  0.500  0.181
Cd  0.750  0.500  0.572
Cd  0.954  0.500  0.181
Ga  0.250  0.000  0.723
Ga  0.750  0.000  0.277

=====

Q: Among the records above, which one has the highest E above lowest polymorph?
A: KScTa2

=====

Q: Among the records above, which one has the lowest theoretical density?
A: La2BeBr